Computed, not measured: an optimized crystal structure of LaReAsW2 at the PBE-GGA level of DFT.

Summary:
For the formation energy, the calculation gives 1.614 eV/atom. The total energy comes out at -39.86 eV for the cell shown.

Lattice parameters (Å, degrees): 4.6047 5.3917 4.6047 90.00 90.00 90.00
Last column: magnetic moment on the atom in μB.
Sites, in units of the cell vectors:
W  0.0000  0.0000  0.5000  -0.09
W  0.5000  0.0000  0.0000  -0.14
La  0.0000  0.5000  0.0000  -0.02
Re  0.5000  0.5000  0.5000  1.33
As  0.0000  0.0000  0.0000  0.01